Material: Sr2Tb2Tl7
Method: DFT, PBE
State: optimized geometry

Geometry as CIF:
```
data_Sr2Tb2Tl7
_cell_length_a 10.631
_cell_length_b 11.718
_cell_length_c 6.368
_cell_angle_alpha 90.00
_cell_angle_beta 90.00
_cell_angle_gamma 90.00
_space_group_name_H-M_alt 'C m m m'
_space_group_IT_number 65
_space_group_name_Hall '-C 2 2'
loop_
_atom_site_label
_atom_site_type_symbol
_atom_site_fract_x
_atom_site_fract_y
_atom_site_fract_z
Sr1 Sr 0.193 0.000 0.000
Tb1 Tb 0.000 0.268 0.500
Tl1 Tl 0.000 0.000 0.500
Tl2 Tl 0.000 0.500 0.240
Tl3 Tl 0.250 0.250 0.245
```

Energy of formation = 0.0 eV/f.u.
Total energy = -2.654 eV/atom